Model i:
The following is a PBE calculation of crystalline Cr2Ga2Pt at its relaxed geometry, from Alexandria via LeMat-Bulk.

Cell lengths 6.4956, 6.4956, 3.3210 Å; angles 90.00, 90.00, 90.00 degrees
With the nearest neighbours (Å) after each atom.
Fractional coordinates of all 10 atoms:
Cr1 0.1676 0.3324 0.0000  6 Ga 2.47-2.57
Cr2 0.3324 0.8324 0.0000  6 Ga 2.47-2.57
Cr3 0.6676 0.1676 0.0000  6 Ga 2.47-2.57
Cr4 0.8324 0.6676 0.0000  6 Ga 2.47-2.57
Ga1 0.1335 0.6335 0.5000  1 Ga 2.45, 6 Cr 2.47-2.57, 2 Pt 2.53
Ga2 0.3665 0.1335 0.5000  1 Ga 2.45, 6 Cr 2.47-2.57, 2 Pt 2.53
Ga3 0.6335 0.8665 0.5000  1 Ga 2.45, 6 Cr 2.47-2.57, 2 Pt 2.53
Ga4 0.8665 0.3665 0.5000  1 Ga 2.45, 6 Cr 2.47-2.57, 2 Pt 2.53
Pt1 0.0000 0.0000 0.5000  4 Ga 2.53
Pt2 0.5000 0.5000 0.5000  4 Ga 2.53

Computed properties:
- Volume: 140 Å³/cell
- Space group: P4/mbm


Model ii:
The following is a PBE calculation of crystalline Cr2Ga2Pt at its relaxed geometry, from Alexandria via LeMat-Bulk.

Cell lengths 6.8895, 6.8895, 3.0050 Å; angles 90.00, 90.00, 90.00 degrees
With the nearest neighbours (Å) after each atom.
Fractional coordinates of all 10 atoms:
Cr1 0.1016 0.3984 0.0000  1 Cr 1.98
Cr2 0.3984 0.8984 0.0000  1 Cr 1.98
Cr3 0.6016 0.1016 0.0000  1 Cr 1.98
Cr4 0.8984 0.6016 0.0000  1 Cr 1.98
Ga1 0.1935 0.6935 0.5000  6 Cr 2.50-2.61
Ga2 0.3065 0.1935 0.5000  6 Cr 2.50-2.61
Ga3 0.6935 0.8065 0.5000  6 Cr 2.50-2.61
Ga4 0.8065 0.3065 0.5000  6 Cr 2.50-2.61
Pt1 0.0000 0.0000 0.0000  4 Cr 2.83, 8 Ga 2.91, 2 Pt 3.01
Pt2 0.5000 0.5000 0.0000  4 Cr 2.83, 8 Ga 2.91, 2 Pt 3.01

Computed properties:
- Volume: 143 Å³/cell
- Space group: P4/mbm


Stability check: which of them is most stable? model ii.


Model i:
The following is a PBE calculation of crystalline RbCrGa2 at its relaxed geometry, from Alexandria via LeMat-Bulk.

Cell lengths 4.0134, 7.9307, 7.9307 Å; angles 23.24, 90.00, 90.00 degrees
With the nearest neighbours (Å) after each atom.
Fractional coordinates of all 4 atoms:
Rb1 0.0000 0.0000 0.0000  2 Rb 3.20, 1 Cr 3.46
Cr1 0.0000 0.7776 0.7776  6 Ga 2.62-2.69
Ga1 0.5000 0.3110 0.3110  4 Cr 2.62, 2 Ga 2.81
Ga2 0.5000 0.6620 0.6620  2 Cr 2.69, 2 Ga 2.81

Computed properties:
- Volume: 100 Å³/cell
- Space group: Amm2


Model ii:
The following is a PBE calculation of crystalline RbCrGa2 at its relaxed geometry, from Alexandria via LeMat-Bulk.

Cell lengths 5.1025, 5.1025, 7.8639 Å; angles 99.06, 99.06, 81.64 degrees
With the nearest neighbours (Å) after each atom.
Fractional coordinates of all 8 atoms:
Rb1 0.2379 0.2379 0.4255  4 Ga 3.45-3.49, 2 Rb 3.53, 1 Cr 3.65
Rb2 0.7621 0.7621 0.5745  4 Ga 3.45-3.49, 2 Rb 3.53, 1 Cr 3.65
Cr1 0.4053 0.4053 0.8955  1 Cr 1.96
Cr2 0.5947 0.5947 0.1045  1 Cr 1.96
Ga1 0.0967 0.6796 0.1240  3 Cr 2.54-2.67, 2 Ga 2.63-2.78
Ga2 0.3204 0.9033 0.8760  3 Cr 2.54-2.67, 2 Ga 2.63-2.78
Ga3 0.6796 0.0967 0.1240  3 Cr 2.54-2.67, 2 Ga 2.63-2.78
Ga4 0.9033 0.3204 0.8760  3 Cr 2.54-2.67, 2 Ga 2.63-2.78

Computed properties:
- Volume: 198 Å³/cell
- Space group: C2/m


Model iii:
The following is a PBE calculation of crystalline RbCrGa2 at its relaxed geometry, from Alexandria via LeMat-Bulk.

Cell lengths 3.6295, 4.4533, 14.3284 Å; angles 83.12, 83.97, 68.21 degrees
With the nearest neighbours (Å) after each atom.
Fractional coordinates of all 8 atoms:
Rb1 0.0200 0.1987 0.1623  3 Ga 3.47-3.51, 2 Rb 3.63
Rb2 0.9800 0.8013 0.8377  3 Ga 3.47-3.51, 2 Rb 3.63
Cr1 0.1487 0.6625 0.5211  2 Cr 2.27-2.47
Cr2 0.8513 0.3375 0.4789  2 Cr 2.27-2.47
Ga1 0.2976 0.5460 0.3363  3 Ga 2.60-2.72, 3 Cr 2.72-2.85
Ga2 0.4276 0.0584 0.5953  4 Ga 2.60-2.80, 5 Cr 2.63-2.74
Ga3 0.5724 0.9416 0.4047  4 Ga 2.60-2.80, 5 Cr 2.63-2.74
Ga4 0.7024 0.4540 0.6637  3 Ga 2.60-2.72, 3 Cr 2.72-2.85

Computed properties:
- Volume: 213 Å³/cell
- Space group: P-1


Model iv:
The following is a PBE calculation of crystalline RbCrGa2 at its relaxed geometry, from Alexandria via LeMat-Bulk.

Cell lengths 4.0879, 4.7911, 12.0435 Å; angles 95.70, 90.42, 90.01 degrees
With the nearest neighbours (Å) after each atom.
Fractional coordinates of all 8 atoms:
Rb1 0.2423 0.2880 0.1685  3 Ga 3.30-3.59
Rb2 0.7577 0.7120 0.8315  3 Ga 3.30-3.59
Cr1 0.2500 0.6150 0.5004  2 Cr 2.32, 4 Ga 2.55-2.57
Cr2 0.7500 0.3850 0.4996  2 Cr 2.32, 4 Ga 2.55-2.57
Ga1 0.2483 0.0988 0.4246  4 Cr 2.55-2.57, 3 Ga 2.73-2.77
Ga2 0.2536 0.2430 0.6529  3 Cr 2.68-2.88, 3 Ga 2.73-2.77
Ga3 0.7464 0.7570 0.3471  3 Cr 2.68-2.88, 3 Ga 2.73-2.77
Ga4 0.7517 0.9012 0.5754  4 Cr 2.55-2.57, 3 Ga 2.73-2.77

Computed properties:
- Volume: 235 Å³/cell
- Space group: P-1


Stability check: which of them is most stable? model iii.


Model i:
The following is a PBE calculation of crystalline RbCrGa2 at its relaxed geometry, from Alexandria via LeMat-Bulk.

Cell lengths 5.1121, 5.3190, 8.5426 Å; angles 78.86, 85.79, 74.47 degrees
With the nearest neighbours (Å) after each atom.
Fractional coordinates of all 8 atoms:
Rb1 0.0000 0.0000 0.0000  4 Ga 3.37-3.71, 1 Cr 3.70, 2 Rb 3.72-3.74
Rb2 0.4734 0.4173 0.2373  2 Cr 3.45-3.69, 5 Ga 3.54-3.81, 2 Rb 3.72-3.74
Cr1 0.3635 0.8287 0.5148  1 Cr 2.21
Cr2 0.6075 0.5673 0.7150  1 Cr 2.21
Ga1 0.1052 0.5654 0.7474  3 Cr 2.56-2.68, 3 Ga 2.73-2.84
Ga2 0.5158 0.1238 0.6737  3 Cr 2.56-2.83, 3 Ga 2.68-2.84
Ga3 0.8729 0.8172 0.4528  3 Cr 2.61-2.83, 2 Ga 2.80-2.83
Ga4 0.9843 0.2400 0.5686  2 Cr 2.60-2.64, 4 Ga 2.68-2.83

Computed properties:
- Volume: 220 Å³/cell
- Space group: P1


Model ii:
The following is a PBE calculation of crystalline RbCrGa2 at its relaxed geometry, from Alexandria via LeMat-Bulk.

Cell lengths 5.0530, 5.0530, 5.0530 Å; angles 60.00, 60.00, 60.00 degrees
With the nearest neighbours (Å) after each atom.
Fractional coordinates of all 4 atoms:
Rb1 0.0000 0.0000 0.0000  8 Ga 3.09
Cr1 0.5000 0.5000 0.5000  8 Ga 3.09
Ga1 0.2500 0.2500 0.2500  4 Cr 3.09, 4 Rb 3.09
Ga2 0.7500 0.7500 0.7500  4 Cr 3.09, 4 Rb 3.09

Computed properties:
- Volume: 91 Å³/cell
- Space group: Fm-3m


Stability check: which of them is most stable? model i.


Model i:
The following is a PBE calculation of crystalline RbCrGa2 at its relaxed geometry, from Alexandria via LeMat-Bulk.

Cell lengths 4.0041, 4.5619, 14.1574 Å; angles 95.72, 91.30, 116.01 degrees
With the nearest neighbours (Å) after each atom.
Fractional coordinates of all 8 atoms:
Rb1 0.0000 0.0000 0.0000  4 Ga 3.57-3.65
Rb2 0.2763 0.6620 0.3240  3 Ga 3.52-3.55
Cr1 0.2861 0.6314 0.6278  3 Cr 2.56-2.73, 8 Ga 2.64-2.84
Cr2 0.5986 0.2476 0.6855  3 Cr 2.56-2.73, 6 Ga 2.63-2.80
Ga1 0.2479 0.5252 0.8167  3 Ga 2.71-2.74, 3 Cr 2.76-2.87
Ga2 0.6405 0.3612 0.4989  3 Ga 2.66-2.68, 3 Cr 2.74-2.84
Ga3 0.9199 0.8803 0.7451  5 Cr 2.63-2.72, 4 Ga 2.71-2.75
Ga4 0.9659 0.0031 0.5580  5 Cr 2.64-2.80, 4 Ga 2.66-2.75

Computed properties:
- Volume: 231 Å³/cell
- Space group: P1


Model ii:
The following is a PBE calculation of crystalline RbCrGa2 at its relaxed geometry, from Alexandria via LeMat-Bulk.

Cell lengths 5.1243, 4.0776, 10.2293 Å; angles 90.00, 97.17, 90.00 degrees
With the nearest neighbours (Å) after each atom.
Fractional coordinates of all 8 atoms:
Rb1 0.2130 0.2500 0.3672  3 Ga 3.27-3.64
Rb2 0.7870 0.7500 0.6328  3 Ga 3.27-3.64
Cr1 0.3960 0.7500 0.9772  2 Cr 2.32, 2 Ga 2.51-2.53
Cr2 0.6040 0.2500 0.0228  2 Cr 2.32, 2 Ga 2.51-2.53
Ga1 0.1213 0.2500 0.0447  2 Ga 2.50, 4 Cr 2.51-2.63
Ga2 0.3379 0.2500 0.7978  3 Cr 2.53-2.73
Ga3 0.6621 0.7500 0.2022  3 Cr 2.53-2.73
Ga4 0.8787 0.7500 0.9553  2 Ga 2.50, 4 Cr 2.51-2.63

Computed properties:
- Volume: 212 Å³/cell
- Space group: P2_1/m


Stability check: which of them is most stable? model i.


Model i:
The following is a PBE calculation of crystalline RbCrGa2 at its relaxed geometry, from Alexandria via LeMat-Bulk.

Cell lengths 3.9103, 3.3817, 8.0697 Å; angles 90.00, 103.96, 90.00 degrees
With the nearest neighbours (Å) after each atom.
Fractional coordinates of all 4 atoms:
Rb1 0.0000 0.0000 0.0000  2 Rb 3.38, 1 Cr 3.38, 4 Ga 3.59
Cr1 0.7823 0.0000 0.5681  6 Ga 2.59
Ga1 0.2939 0.5000 0.5915  4 Cr 2.59, 2 Ga 2.90
Ga2 0.6582 0.5000 0.3183  2 Cr 2.59

Computed properties:
- Volume: 104 Å³/cell
- Space group: Pm


Model ii:
The following is a PBE calculation of crystalline RbCrGa2 at its relaxed geometry, from Alexandria via LeMat-Bulk.

Cell lengths 9.5102, 9.5102, 9.5102 Å; angles 146.50, 146.50, 48.10 degrees
With the nearest neighbours (Å) after each atom.
Fractional coordinates of all 8 atoms:
Rb1 0.3750 0.6250 0.7500  8 Ga 3.76, 4 Cr 3.88
Rb2 0.6250 0.3750 0.2500  8 Ga 3.76, 4 Cr 3.88
Cr1 0.1250 0.8750 0.2500  4 Ga 2.57
Cr2 0.8750 0.1250 0.7500  4 Ga 2.57
Ga1 0.0000 0.0000 0.0000  2 Cr 2.57, 2 Ga 2.74
Ga2 0.0000 0.0000 0.5000  2 Cr 2.57, 2 Ga 2.74
Ga3 0.0000 0.5000 0.0000  2 Cr 2.57, 2 Ga 2.74
Ga4 0.5000 0.0000 0.5000  2 Cr 2.57, 2 Ga 2.74

Computed properties:
- Volume: 261 Å³/cell
- Space group: I4_1/amd


Model iii:
The following is a PBE calculation of crystalline RbCrGa2 at its relaxed geometry, from Alexandria via LeMat-Bulk.

Cell lengths 6.7079, 6.7079, 8.0067 Å; angles 105.53, 105.53, 37.20 degrees
With the nearest neighbours (Å) after each atom.
Fractional coordinates of all 8 atoms:
Rb1 0.0000 0.0000 0.0000  7 Ga 3.51-3.90, 1 Cr 3.53, 1 Rb 3.58
Rb2 0.7076 0.7076 0.8233  3 Rb 3.58-3.96, 8 Ga 3.62-3.94, 3 Cr 3.73-3.83
Cr1 0.1894 0.1894 0.4190  2 Cr 2.44, 5 Ga 2.62-2.72
Cr2 0.7780 0.7780 0.4013  2 Cr 2.44, 2 Ga 2.61-2.63
Ga1 0.3428 0.3428 0.2415  3 Cr 2.72-2.74, 2 Ga 2.73-2.86
Ga2 0.3942 0.3942 0.6131  3 Cr 2.63-2.87, 3 Ga 2.81-2.86
Ga3 0.5659 0.5659 0.3627  3 Cr 2.62-2.63, 3 Ga 2.63-2.73
Ga4 0.9915 0.9915 0.4832  2 Cr 2.61-2.71, 4 Ga 2.63-2.81

Computed properties:
- Volume: 209 Å³/cell
- Space group: Cm


Stability check: which of them is most stable? model iii.


Model i:
The following is a PBE calculation of crystalline RbCr3Ga at its relaxed geometry, from Alexandria via LeMat-Bulk.

Cell lengths 5.9347, 5.9347, 5.9347 Å; angles 90.00, 90.00, 90.00 degrees
With the nearest neighbours (Å) after each atom.
Fractional coordinates of all 5 atoms:
Rb1 0.0000 0.0000 0.0000  6 Cr 2.97
Cr1 0.0000 0.0000 0.5000  2 Rb 2.97
Cr2 0.0000 0.5000 0.0000  2 Rb 2.97
Cr3 0.5000 0.0000 0.0000  2 Rb 2.97
Ga1 0.5000 0.5000 0.5000  12 Cr 4.20

Computed properties:
- Volume: 209 Å³/cell
- Space group: Pm-3m


Model ii:
The following is a PBE calculation of crystalline RbCr3Ga at its relaxed geometry, from Alexandria via LeMat-Bulk.

Cell lengths 5.1323, 5.1323, 5.1323 Å; angles 90.00, 90.00, 90.00 degrees
With the nearest neighbours (Å) after each atom.
Fractional coordinates of all 5 atoms:
Rb1 0.0000 0.0000 0.0000  12 Cr 3.63
Cr1 0.0000 0.5000 0.5000  2 Ga 2.57
Cr2 0.5000 0.0000 0.5000  2 Ga 2.57
Cr3 0.5000 0.5000 0.0000  2 Ga 2.57
Ga1 0.5000 0.5000 0.5000  6 Cr 2.57

Computed properties:
- Volume: 135 Å³/cell
- Space group: Pm-3m


Stability check: which of them is most stable? model ii.